Compound: Rh3AuC
Source: the Alexandria database
Functional: GGA-PBE
Structure: relaxed

a = 4.8931 Å, b = 4.8931 Å, c = 4.8931 Å
α = 90.00°, β = 90.00°, γ = 90.00°
With the nearest neighbours (Å) after each atom.
Sites, in units of the cell vectors:
Rh (0.0000, 0.0000, 0.5000)  2 Au 2.45
Rh (0.0000, 0.5000, 0.0000)  2 Au 2.45
Rh (0.5000, 0.0000, 0.0000)  2 Au 2.45
Au (0.0000, 0.0000, 0.0000)  6 Rh 2.45
C (0.5000, 0.5000, 0.5000)  12 Rh 3.46

- Symmetry: Pm-3m (221)
- Offset from the most stable computed form: 13.92 eV/f.u.
- Crystal system: cubic
- Energy of formation from the pure elements: 69.37 kcal/mol of atoms